Record 1
The following is a GGA-PBEsol calculation of a geometry-optimized Be2Tc structure, from the Alexandria database.

Cell lengths 2.353, 4.168, 4.168 Å; angles 90.00, 90.00, 90.00 degrees
Element x y z (fractional)
Be 0.000 0.000 0.500
Tc 0.500 0.000 0.000
Be 0.000 0.500 0.000

N(E_F)   0.634 states/eV per atom
DFT formation energy   0.424 eV per atom
Magnetization   0.0 Bohr magnetons per cell
Excess energy over the best structure of this formula in the dataset   0.8070 eV/atom
E   -17.995 eV per cell

Record 2
The following is a GGA-PBEsol calculation of a geometry-optimized Be3Tc structure, from the Alexandria database.

Cell lengths 3.355, 3.355, 3.355 Å; angles 90.00, 90.00, 90.00 degrees
Element x y z (fractional)
Be 0.000 0.500 0.500
Be 0.500 0.500 0.000
Be 0.500 0.000 0.500
Tc 0.000 0.000 0.000

N(E_F)   0.555 states/eV per atom
DFT formation energy   -0.238 eV per atom
Magnetization   0.2 Bohr magnetons per cell
Excess energy over the best structure of this formula in the dataset   0.0501 eV/atom
E   -24.219 eV per cell

Record 3
The following is a GGA-PBEsol calculation of a geometry-optimized BeTc structure, from the Alexandria database.

Cell lengths 3.058, 3.168, 4.604 Å; angles 90.00, 109.40, 90.00 degrees
Element x y z (fractional)
Be 0.570 0.250 0.139
Tc 0.850 0.250 0.699
Be 0.430 0.750 0.861
Tc 0.150 0.750 0.301

N(E_F)   0.528 states/eV per atom
DFT formation energy   -0.201 eV per atom
Magnetization   0.0 Bohr magnetons per cell
Excess energy over the best structure of this formula in the dataset   0.0000 eV/atom
E   -31.338 eV per cell

Which value of DFT formation energy does entry 1 give?
0.424 eV per atom

What did the first record say?
The following is a GGA-PBEsol calculation of a geometry-optimized Be2Tc structure, from the Alexandria database.

Cell lengths 2.353, 4.168, 4.168 Å; angles 90.00, 90.00, 90.00 degrees
Element x y z (fractional)
Be 0.000 0.000 0.500
Tc 0.500 0.000 0.000
Be 0.000 0.500 0.000

N(E_F)   0.634 states/eV per atom
DFT formation energy   0.424 eV per atom
Magnetization   0.0 Bohr magnetons per cell
Excess energy over the best structure of this formula in the dataset   0.8070 eV/atom
E   -17.995 eV per cell

Among the records above, which one has the highest excess energy over the best structure of this formula in the dataset?
Be2Tc

The lowest N(E_F) belongs to which entry?
BeTc